[1]
Compound: Pr4Al2H
Source: Alexandria via LeMat-Bulk
Functional: GGA-PBE
Structure: optimized geometry

abc: 4.751 4.751 9.077
angles: 105.17 105.17 90.00
Atoms (fractional coordinates):
1 Pr 0.819 0.819 0.638
2 Pr 0.181 0.181 0.362
3 Pr 0.000 0.500 0.000
4 Pr 0.500 0.000 0.000
5 H 0.000 0.000 0.000
6 Al 0.634 0.634 0.267
7 Al 0.366 0.366 0.733

Properties
For the total energy, the calculation gives -4.510 eV/atom. The total magnetization comes out at 0.000 μB/cell. The volume comes out at 190.36 Å³/cell. The space group is I4/mmm. As for the calculated density: 5.4 Mg/m³.

[2]
Compound: ZrScRe2
Source: Alexandria via LeMat-Bulk
Functional: GGA-PBE
Structure: optimized geometry

abc: 4.628 4.628 3.289
angles: 90.00 90.00 90.03
Atoms (fractional coordinates):
1 Re 0.000 0.000 0.000
2 Re 0.500 0.500 0.000
3 Sc 0.500 0.000 0.500
4 Zr 0.000 0.500 0.500

Properties
For the total energy, the calculation gives -9.952 eV/atom. The total magnetization comes out at 0.000 μB/cell. The volume comes out at 70.47 Å³/cell. The space group is P4/mmm. As for the calculated density: 12.0 Mg/m³.

[3]
Compound: BaMg2Te
Source: Alexandria via LeMat-Bulk
Functional: GGA-PBE
Structure: optimized geometry

abc: 5.786 5.786 5.786
angles: 60.00 60.00 60.00
Atoms (fractional coordinates):
1 Ba 0.500 0.500 0.500
2 Mg 0.000 0.000 0.000
3 Mg 0.250 0.250 0.250
4 Te 0.750 0.750 0.750

Properties
For the total energy, the calculation gives -2.421 eV/atom. The total magnetization comes out at 0.000 μB/cell. The volume comes out at 136.96 Å³/cell. The space group is F-43m. As for the calculated density: 3.8 Mg/m³.

[4]
Compound: Si2RhAu
Source: Alexandria via LeMat-Bulk
Functional: GGA-PBE
Structure: optimized geometry

abc: 3.005 5.041 4.099
angles: 90.00 90.00 90.00
Atoms (fractional coordinates):
1 Au 0.500 0.000 0.500
2 Rh 0.000 0.500 0.500
3 Si 0.000 0.000 0.000
4 Si 0.500 0.500 0.000

Properties
For the total energy, the calculation gives -5.280 eV/atom. The total magnetization comes out at 0.000 μB/cell. As for the distance to the lowest polymorph of the same formula: 1.49 eV per formula unit. The volume comes out at 62.10 Å³/cell. The space group is Pmmm. As for the calculated density: 9.5 Mg/m³.

[5]
Compound: YMg3Al
Source: Alexandria via LeMat-Bulk
Functional: GGA-PBE
Structure: optimized geometry

abc: 5.126 5.126 5.126
angles: 90.00 90.00 90.00
Atoms (fractional coordinates):
1 Y 0.500 0.500 0.500
2 Mg 0.000 0.500 0.000
3 Mg 0.000 0.000 0.500
4 Mg 0.500 0.000 0.000
5 Al 0.000 0.000 0.000

Properties
For the total energy, the calculation gives -2.676 eV/atom. The total magnetization comes out at 0.000 μB/cell. As for the distance to the lowest polymorph of the same formula: 0.00 eV per formula unit. The volume comes out at 134.65 Å³/cell. The space group is Pm-3m. As for the calculated density: 2.3 Mg/m³.

[6]
Compound: ThInRuRh
Source: Alexandria via LeMat-Bulk
Functional: GGA-PBE
Structure: optimized geometry

abc: 3.686 4.487 4.724
angles: 90.00 90.00 90.00
Atoms (fractional coordinates):
1 Th 0.000 0.500 0.500
2 In 0.000 0.000 0.000
3 Ru 0.500 0.000 0.500
4 Rh 0.500 0.500 0.000

Properties
For the total energy, the calculation gives -7.251 eV/atom. The total magnetization comes out at 0.000 μB/cell. As for the distance to the lowest polymorph of the same formula: 0.00 eV per formula unit. The volume comes out at 78.13 Å³/cell. The space group is Pmmm. As for the calculated density: 11.7 Mg/m³.

[7]
Compound: BeCd2W
Source: Alexandria via LeMat-Bulk
Functional: GGA-PBE
Structure: optimized geometry

abc: 5.610 5.610 5.610
angles: 150.73 127.97 60.82
Atoms (fractional coordinates):
1 Be 0.263 0.763 0.500
2 W 0.467 0.467 0.000
3 Cd 0.024 0.024 0.000
4 Cd 0.746 0.246 0.500

Properties
For the total energy, the calculation gives -4.005 eV/atom. The total magnetization comes out at 0.000 μB/cell. The volume comes out at 67.49 Å³/cell. The space group is Imm2. As for the calculated density: 10.3 Mg/m³.

[8]
Compound: Cs2ZnHSe2
Source: Alexandria via LeMat-Bulk
Functional: GGA-PBE
Structure: optimized geometry

abc: 6.366 10.265 9.129
angles: 124.21 110.41 90.00
Atoms (fractional coordinates):
1 Cs 0.627 0.934 0.254
2 Cs 0.127 0.320 0.254
3 Cs 0.873 0.680 0.746
4 Cs 0.373 0.066 0.746
5 Zn 0.750 0.500 0.000
6 Zn 0.250 0.500 0.000
7 H 0.250 0.000 0.000
8 H 0.750 0.000 0.000
9 Se 0.395 0.518 0.790
10 Se 0.605 0.482 0.210
11 Se 0.105 0.729 0.210
12 Se 0.895 0.271 0.790

Properties
For the total energy, the calculation gives -2.742 eV/atom. The total magnetization comes out at 2.114 μB/cell. The volume comes out at 447.34 Å³/cell. The space group is Ibam. As for the calculated density: 3.6 Mg/m³.

[9]
Compound: MnRuBr3
Source: Alexandria via LeMat-Bulk
Functional: GGA-PBE
Structure: optimized geometry

abc: 5.053 5.053 5.053
angles: 90.00 90.00 90.00
Atoms (fractional coordinates):
1 Ru 0.000 0.000 0.000
2 Mn 0.500 0.500 0.500
3 Br 0.000 0.500 0.000
4 Br 0.000 0.000 0.500
5 Br 0.500 0.000 0.000

Properties
For the total energy, the calculation gives -4.274 eV/atom. The total magnetization comes out at 4.586 μB/cell. The volume comes out at 128.99 Å³/cell. The space group is Pm-3m. As for the calculated density: 5.1 Mg/m³.

[10]
Compound: Sr2Li5Ag5
Source: Alexandria via LeMat-Bulk
Functional: GGA-PBE
Structure: optimized geometry

abc: 4.576 5.596 10.270
angles: 90.00 90.00 90.00
Atoms (fractional coordinates):
1 Sr 0.000 0.500 0.000
2 Sr 0.000 0.000 0.500
3 Li 0.500 0.500 0.500
4 Li 0.500 0.753 0.244
5 Li 0.500 0.247 0.756
6 Li 0.500 0.247 0.244
7 Li 0.500 0.753 0.756
8 Ag 0.000 0.500 0.328
9 Ag 0.000 0.000 0.822
10 Ag 0.000 0.000 0.178
11 Ag 0.000 0.500 0.672
12 Ag 0.500 0.000 0.000

Properties
For the total energy, the calculation gives -2.483 eV/atom. The total magnetization comes out at 0.000 μB/cell. The volume comes out at 262.99 Å³/cell. The space group is Pmmm. As for the calculated density: 4.7 Mg/m³.

[11]
Compound: KPu2AgCl8
Source: Alexandria via LeMat-Bulk
Functional: GGA-PBE
Structure: optimized geometry

abc: 6.803 6.640 8.502
angles: 90.00 90.00 85.00
Atoms (fractional coordinates):
1 K 0.000 0.000 0.500
2 Pu 0.500 0.500 0.756
3 Pu 0.500 0.500 0.244
4 Ag 0.000 0.000 0.000
5 Cl 0.175 0.757 0.224
6 Cl 0.648 0.713 0.000
7 Cl 0.825 0.243 0.224
8 Cl 0.825 0.243 0.776
9 Cl 0.352 0.287 0.000
10 Cl 0.175 0.757 0.776
11 Cl 0.638 0.708 0.500
12 Cl 0.362 0.292 0.500

Properties
For the total energy, the calculation gives -5.610 eV/atom. The total magnetization comes out at 10.000 μB/cell. The volume comes out at 382.56 Å³/cell. The space group is P2/m. As for the calculated density: 4.0 Mg/m³.

[12]
Compound: CeMg3
Source: Alexandria via LeMat-Bulk
Functional: GGA-PBE
Structure: optimized geometry

abc: 5.220 6.780 6.787
angles: 59.91 90.00 90.00
Atoms (fractional coordinates):
1 Mg 0.750 0.672 0.165
2 Mg 0.750 0.165 0.673
3 Mg 0.750 0.164 0.163
4 Mg 0.250 0.836 0.837
5 Mg 0.250 0.835 0.327
6 Mg 0.250 0.328 0.835
7 Ce 0.750 0.668 0.667
8 Ce 0.250 0.332 0.333

Properties
For the total energy, the calculation gives -2.657 eV/atom. The total magnetization comes out at 2.068 μB/cell. The volume comes out at 207.81 Å³/cell. The space group is P2_1/m. As for the calculated density: 3.4 Mg/m³.

[13]
Compound: SmHoTm3Th
Source: Alexandria via LeMat-Bulk
Functional: GGA-PBE
Structure: optimized geometry

abc: 3.544 10.589 10.559
angles: 109.10 90.00 90.00
Atoms (fractional coordinates):
1 Sm 0.250 0.126 0.291
2 Sm 0.750 0.874 0.709
3 Ho 0.250 0.128 0.626
4 Ho 0.750 0.872 0.374
5 Tm 0.750 0.872 0.041
6 Tm 0.250 0.128 0.959
7 Tm 0.250 0.624 0.457
8 Tm 0.750 0.376 0.543
9 Tm 0.750 0.380 0.207
10 Tm 0.250 0.620 0.793
11 Th 0.250 0.625 0.124
12 Th 0.750 0.375 0.876

Properties
For the total energy, the calculation gives -4.999 eV/atom. The total magnetization comes out at 0.000 μB/cell. The volume comes out at 374.40 Å³/cell. The space group is P2_1/m. As for the calculated density: 9.4 Mg/m³.

[14]
Compound: Tb2C
Source: Alexandria via LeMat-Bulk
Functional: GGA-PBE
Structure: optimized geometry

abc: 3.577 7.260 8.914
angles: 108.97 90.00 104.26
Atoms (fractional coordinates):
1 Tb 0.372 0.744 0.959
2 Tb 0.628 0.256 0.041
3 Tb 0.706 0.411 0.626
4 Tb 0.294 0.589 0.374
5 Tb 0.039 0.077 0.293
6 Tb 0.961 0.923 0.707
7 C 0.000 0.000 0.000
8 C 0.333 0.667 0.667
9 C 0.667 0.333 0.333

Properties
For the total energy, the calculation gives -6.400 eV/atom. The total magnetization comes out at 0.000 μB/cell. The volume comes out at 211.38 Å³/cell. The space group is C2/m. As for the calculated density: 7.8 Mg/m³.

[15]
Compound: CoGe
Source: Alexandria via LeMat-Bulk
Functional: GGA-PBE
Structure: optimized geometry

abc: 6.541 6.541 4.825
angles: 78.71 78.71 33.68
Atoms (fractional coordinates):
1 Co 0.799 0.799 0.278
2 Co 0.333 0.333 0.969
3 Co 0.367 0.367 0.477
4 Co 0.122 0.122 0.871
5 Ge 0.958 0.958 0.684
6 Ge 0.173 0.173 0.344
7 Ge 0.740 0.740 0.788
8 Ge 0.510 0.510 0.089

Properties
For the total energy, the calculation gives -5.853 eV/atom. The total magnetization comes out at 0.781 μB/cell. The volume comes out at 112.07 Å³/cell. The space group is Cm. As for the calculated density: 7.8 Mg/m³.

[16]
Compound: InBrN2F
Source: Alexandria via LeMat-Bulk
Functional: GGA-PBE
Structure: optimized geometry

abc: 3.878 3.878 5.627
angles: 90.00 90.00 90.00
Atoms (fractional coordinates):
1 N 0.000 0.500 0.000
2 N 0.500 0.000 0.000
3 F 0.000 0.000 0.500
4 Br 0.000 0.000 0.000
5 In 0.500 0.500 0.500

Properties
For the total energy, the calculation gives -3.314 eV/atom. The total magnetization comes out at 1.416 μB/cell. As for the distance to the lowest polymorph of the same formula: 2.06 eV per formula unit. The volume comes out at 84.62 Å³/cell. The space group is P4/mmm. As for the calculated density: 4.7 Mg/m³.

[17]
Compound: Pm2CdGe4Au3
Source: Alexandria via LeMat-Bulk
Functional: GGA-PBE
Structure: optimized geometry

abc: 4.341 4.341 11.310
angles: 90.00 90.00 90.00
Atoms (fractional coordinates):
1 Pm 0.500 0.000 0.254
2 Pm 0.000 0.500 0.746
3 Cd 0.500 0.500 0.500
4 Ge 0.500 0.500 0.000
5 Ge 0.000 0.000 0.000
6 Ge 0.500 0.000 0.643
7 Ge 0.000 0.500 0.357
8 Au 0.000 0.000 0.500
9 Au 0.500 0.000 0.863
10 Au 0.000 0.500 0.137

Properties
For the total energy, the calculation gives -4.351 eV/atom. The total magnetization comes out at 0.000 μB/cell. The volume comes out at 213.10 Å³/cell. The space group is P-4m2. As for the calculated density: 10.0 Mg/m³.

[18]
Compound: AcZn4Pd6
Source: Alexandria via LeMat-Bulk
Functional: GGA-PBE
Structure: optimized geometry

abc: 4.094 7.303 7.303
angles: 120.00 90.00 90.00
Atoms (fractional coordinates):
1 Ac 0.000 0.000 0.000
2 Zn 0.500 0.788 0.577
3 Zn 0.500 0.423 0.212
4 Zn 0.500 0.788 0.212
5 Zn 0.000 0.333 0.667
6 Pd 0.000 0.531 0.063
7 Pd 0.500 0.600 0.800
8 Pd 0.000 0.531 0.469
9 Pd 0.000 0.937 0.469
10 Pd 0.500 0.200 0.800
11 Pd 0.500 0.200 0.400

Properties
For the total energy, the calculation gives -4.251 eV/atom. The total magnetization comes out at 0.000 μB/cell. The volume comes out at 189.11 Å³/cell. The space group is P-6m2. As for the calculated density: 9.9 Mg/m³.

[19]
Compound: DyZr2Tl
Source: Alexandria via LeMat-Bulk
Functional: GGA-PBE
Structure: optimized geometry

abc: 4.485 4.306 10.982
angles: 101.30 90.00 90.00
Atoms (fractional coordinates):
1 Dy 0.250 0.309 0.617
2 Dy 0.750 0.691 0.383
3 Zr 0.750 0.447 0.894
4 Zr 0.250 0.553 0.106
5 Zr 0.250 0.948 0.896
6 Zr 0.750 0.052 0.104
7 Tl 0.750 0.839 0.677
8 Tl 0.250 0.161 0.323

Properties
For the total energy, the calculation gives -6.176 eV/atom. The total magnetization comes out at 0.000 μB/cell. As for the distance to the lowest polymorph of the same formula: 0.00 eV per formula unit. The volume comes out at 207.98 Å³/cell. The space group is Cmcm. As for the calculated density: 8.8 Mg/m³.

[20]
Compound: Cs2CdAu2
Source: Alexandria via LeMat-Bulk
Functional: GGA-PBE
Structure: optimized geometry

abc: 7.818 7.818 8.956
angles: 101.79 101.79 122.12
Atoms (fractional coordinates):
1 Cs 0.421 0.579 0.500
2 Cs 0.171 0.829 0.000
3 Cs 0.079 0.921 0.500
4 Cs 0.829 0.171 0.000
5 Cd 0.750 0.250 0.500
6 Cd 0.500 0.500 0.000
7 Au 0.125 0.375 0.750
8 Au 0.625 0.375 0.250
9 Au 0.625 0.375 0.750
10 Au 0.625 0.875 0.250

Properties
For the total energy, the calculation gives -2.069 eV/atom. The total magnetization comes out at 0.000 μB/cell. As for the distance to the lowest polymorph of the same formula: 0.00 eV per formula unit. The volume comes out at 420.21 Å³/cell. The space group is Fddd. As for the calculated density: 6.1 Mg/m³.